A | # Cs2BrO4

Cs2BrO4 after structural relaxation (GGA-PBE, Alexandria).

Output
Symmetry   I4mm, No. 107
V   195.2 Å³/f.u.

Unit cell a=6.8398 b=6.8398 c=6.3882 alpha=122.38 beta=122.37 gamma=89.98
Last column: nearest neighbours and their distance in Å.
Fractional positions:
O: 0.1902 0.1902 0.0239  1 Br 1.79
O: 0.1903 0.8337 0.0240  1 Br 1.79
O: 0.8337 0.1903 0.0240  1 Br 1.79
O: 0.8336 0.8336 0.0239  1 Br 1.79
Cs: 0.7496 0.2496 0.4993  8 O 3.20-3.34
Cs: 0.2497 0.7497 0.4993  8 O 3.20-3.34
Br: 0.9528 0.9528 0.9056  4 O 1.79

---

B | # Cs2BrO4

Cs2BrO4 after structural relaxation (GGA-PBE, Alexandria).

Output
Symmetry   P4_2/mnm, No. 136
V   213.8 Å³/f.u.

Unit cell a=5.5926 b=8.7447 c=8.7447 alpha=90.00 beta=90.00 gamma=90.00
Last column: nearest neighbours and their distance in Å.
Fractional positions:
O: 0.5000 0.9602 0.4380  1 O 1.29
O: 0.0000 0.9380 0.5398  1 O 1.29
O: 0.5000 0.4380 0.9602  1 O 1.29
O: 0.0000 0.5398 0.9380  1 O 1.29
O: 0.0000 0.0620 0.4602  1 O 1.29
O: 0.0000 0.4602 0.0620  1 O 1.29
O: 0.5000 0.5620 0.0398  1 O 1.29
O: 0.5000 0.0398 0.5620  1 O 1.29
Cs: 0.0000 0.2037 0.7963  4 O 3.19-3.23
Cs: 0.0000 0.7963 0.2037  4 O 3.19-3.23
Cs: 0.5000 0.2963 0.2963  4 O 3.19-3.23
Cs: 0.5000 0.7037 0.7037  4 O 3.19-3.23
Br: 0.0000 0.5000 0.5000  6 Cs 3.66-3.76, 4 O 3.85
Br: 0.5000 0.0000 0.0000  6 Cs 3.66-3.76, 4 O 3.85

---

Verdict on stability: B comes out on top.

---

A | # CsBr3O

CsBr3O after structural relaxation (GGA-PBE, Alexandria).

Output
Symmetry   I4/mmm, No. 139
V   149.4 Å³/f.u.

Unit cell a=6.9722 b=6.9722 c=7.8807 alpha=63.75 beta=63.75 gamma=90.00
Last column: nearest neighbours and their distance in Å.
Fractional positions:
Br: 0.8143 0.8143 0.3715  1 O 2.28
Br: 0.1857 0.1857 0.6285  1 O 2.28
Br: 0.7309 0.7309 0.0000  1 O 2.28
Br: 0.2691 0.7309 0.0000  1 O 2.28
Br: 0.7309 0.2691 0.0000  1 O 2.28
Br: 0.2691 0.2691 0.0000  1 O 2.28
O: 0.5000 0.5000 0.0000  4 Br 2.28
O: 0.0000 0.0000 0.0000  2 Br 2.28
Cs: 0.7500 0.2500 0.5000  12 Br 3.57-3.94
Cs: 0.2500 0.7500 0.5000  12 Br 3.57-3.94

---

B | # CsBr3O

CsBr3O after structural relaxation (GGA-PBE, Alexandria).

Output
Symmetry   Pm-3m, No. 221
V   132.7 Å³/f.u.

Unit cell a=5.1005 b=5.1005 c=5.1005 alpha=90.00 beta=90.00 gamma=90.00
Last column: nearest neighbours and their distance in Å.
Fractional positions:
Br: 0.0000 0.5000 0.0000  2 O 2.55
Br: 0.0000 0.0000 0.5000  2 O 2.55
Br: 0.5000 0.0000 0.0000  2 O 2.55
O: 0.0000 0.0000 0.0000  6 Br 2.55
Cs: 0.5000 0.5000 0.5000  12 Br 3.61

---

Verdict on stability: A comes out on top.

---

A | # CsRb2BrO

CsRb2BrO after structural relaxation (GGA-PBE, Alexandria).

Output
Symmetry   P4/mmm, No. 123
V   183.8 Å³/f.u.

Unit cell a=5.5943 b=5.5943 c=5.8745 alpha=90.00 beta=90.00 gamma=90.00
Last column: nearest neighbours and their distance in Å.
Fractional positions:
Cs: 0.0000 0.0000 0.5000  2 O 2.94
Br: 0.5000 0.5000 0.5000  4 Cs 3.96, 8 Rb 4.06
Rb: 0.0000 0.5000 0.0000  2 O 2.80
Rb: 0.5000 0.0000 0.0000  2 O 2.80
O: 0.0000 0.0000 0.0000  4 Rb 2.80, 2 Cs 2.94

---

B | # CsRb2BrO

CsRb2BrO after structural relaxation (GGA-PBE, Alexandria).

Output
Symmetry   Cmcm, No. 63
V   195.8 Å³/f.u.

Unit cell a=4.6819 b=9.3812 c=9.2092 alpha=90.00 beta=90.00 gamma=104.45
Last column: nearest neighbours and their distance in Å.
Fractional positions:
O: 0.0000 0.0000 0.5000  2 Rb 2.56
O: 0.0000 0.0000 0.0000  2 Rb 2.56
Cs: 0.5008 0.0016 0.2500  4 O 3.28
Cs: 0.4992 0.9984 0.7500  4 O 3.28
Br: 0.2818 0.5636 0.2500  6 Rb 3.50-3.52
Br: 0.7182 0.4364 0.7500  6 Rb 3.50-3.52
Rb: 0.1408 0.2816 0.9872  1 O 2.56
Rb: 0.1408 0.2816 0.5128  1 O 2.56
Rb: 0.8592 0.7184 0.0128  1 O 2.56
Rb: 0.8592 0.7184 0.4872  1 O 2.56

---

Verdict on stability: A comes out on top.

---

A | # Cs2OsBr7

Cs2OsBr7 after structural relaxation (GGA-PBE, Alexandria).

Output
Symmetry   C2/c, No. 15
V   378.2 Å³/f.u.

Unit cell a=7.7102 b=11.4984 c=9.8426 alpha=81.73 beta=66.94 gamma=70.41
Last column: nearest neighbours and their distance in Å.
Fractional positions:
Br: 0.0106 0.6733 0.5064  1 Os 2.59
Br: 0.3291 0.7500 0.2500  1 Os 2.58
Br: 0.8097 0.1733 0.0064  1 Os 2.59
Br: 0.2029 0.2292 0.9208  1 Os 2.62
Br: 0.3529 0.2708 0.5792  1 Os 2.62
Br: 0.8488 0.4750 0.8248  1 Os 2.54
Br: 0.6709 0.2500 0.7500  1 Os 2.58
Br: 0.1486 0.0250 0.6752  1 Os 2.54
Br: 0.9894 0.3267 0.4936  1 Os 2.59
Br: 0.8514 0.9750 0.3248  1 Os 2.54
Br: 0.1903 0.8267 0.9936  1 Os 2.59
Br: 0.6471 0.7292 0.4208  1 Os 2.62
Br: 0.7971 0.7708 0.0792  1 Os 2.62
Br: 0.1512 0.5250 0.1752  1 Os 2.54
Cs: 0.3069 0.5543 0.7766  7 Br 3.63-4.03
Cs: 0.6931 0.4457 0.2234  7 Br 3.63-4.03
Cs: 0.6378 0.9457 0.7234  7 Br 3.63-4.03
Cs: 0.3622 0.0543 0.2766  7 Br 3.63-4.03
Os: 0.9951 0.7500 0.2500  7 Br 2.54-2.62
Os: 0.0049 0.2500 0.7500  7 Br 2.54-2.62

---

B | # Cs2OsBr7

Cs2OsBr7 after structural relaxation (GGA-PBE, Alexandria).

Output
Symmetry   I4/mmm, No. 139
V   392.8 Å³/f.u.

Unit cell a=8.2000 b=8.2000 c=8.2310 alpha=60.12 beta=60.12 gamma=90.00
Last column: nearest neighbours and their distance in Å.
Fractional positions:
Br: 0.5000 0.5000 0.0000  6 Br 3.29-3.34
Br: 0.2145 0.2145 0.5711  1 Os 2.51
Br: 0.7855 0.7855 0.4289  1 Os 2.51
Br: 0.2162 0.7838 0.0000  1 Os 2.51
Br: 0.2162 0.2162 0.0000  1 Os 2.51
Br: 0.7838 0.2162 0.0000  1 Os 2.51
Br: 0.7838 0.7838 0.0000  1 Os 2.51
Cs: 0.7500 0.2500 0.5000  12 Br 4.12-4.13
Cs: 0.2500 0.7500 0.5000  12 Br 4.12-4.13
Os: 0.0000 0.0000 0.0000  6 Br 2.51

---

Verdict on stability: B comes out on top.

---

A | # CsPBr2

CsPBr2 after structural relaxation (GGA-PBE, Alexandria).

Output
Symmetry   R-3m, No. 166
V   173.1 Å³/f.u.

Unit cell a=9.1760 b=9.1760 c=9.1760 alpha=30.19 beta=30.19 gamma=30.19
Last column: nearest neighbours and their distance in Å.
Fractional positions:
Br: 0.8725 0.8725 0.8725  3 P 2.94
Br: 0.1275 0.1275 0.1275  3 P 2.94
P: 0.5000 0.5000 0.5000  6 Br 2.94
Cs: 0.0000 0.0000 0.0000  2 Br 3.35

---

B | # CsPBr2

CsPBr2 after structural relaxation (GGA-PBE, Alexandria).

Output
Symmetry   Fm-3m, No. 225
V   137.3 Å³/f.u.

Unit cell a=5.7911 b=5.7911 c=5.7911 alpha=60.00 beta=60.00 gamma=60.00
Last column: nearest neighbours and their distance in Å.
Fractional positions:
P: 0.0000 0.0000 0.0000  8 Br 3.55
Br: 0.2500 0.2500 0.2500  4 Cs 3.55, 4 P 3.55
Br: 0.7500 0.7500 0.7500  4 P 3.55, 4 Cs 3.55
Cs: 0.5000 0.5000 0.5000  8 Br 3.55

---

Verdict on stability: B comes out on top.

---

A | # CsP2Br

CsP2Br after structural relaxation (GGA-PBE, Alexandria).

Output
Symmetry   I4_1/amd, No. 141
V   162.7 Å³/f.u.

Unit cell a=4.5802 b=4.5802 c=15.8442 alpha=81.69 beta=81.69 gamma=90.00
Last column: nearest neighbours and their distance in Å.
Fractional positions:
Cs: 0.0000 0.0000 0.0000  4 Br 3.24
Cs: 0.7500 0.2500 0.5000  4 Br 3.24
P: 0.3745 0.1250 0.2500  2 P 2.29
P: 0.3750 0.6255 0.7500  2 P 2.29
P: 0.8750 0.6245 0.7500  2 P 2.29
P: 0.3755 0.6250 0.2500  2 P 2.29
Br: 0.5000 0.5000 0.0000  4 Cs 3.24
Br: 0.2500 0.7500 0.5000  4 Cs 3.24

---

B | # CsP2Br

CsP2Br after structural relaxation (GGA-PBE, Alexandria).

Output
Symmetry   Fm-3m, No. 225
V   111.2 Å³/f.u.

Unit cell a=5.3984 b=5.3984 c=5.3984 alpha=60.00 beta=60.00 gamma=60.00
Last column: nearest neighbours and their distance in Å.
Fractional positions:
Br: 0.0000 0.0000 0.0000  8 P 3.31
P: 0.2500 0.2500 0.2500  4 Cs 3.31, 4 Br 3.31
P: 0.7500 0.7500 0.7500  4 Br 3.31, 4 Cs 3.31
Cs: 0.5000 0.5000 0.5000  8 P 3.31

---

Verdict on stability: A comes out on top.

---

A | # CsPBr4

CsPBr4 after structural relaxation (GGA-PBE, Alexandria).

Output
Symmetry   Pmn2_1, No. 31
V   267.0 Å³/f.u.

Unit cell a=8.4714 b=5.9462 c=10.5992 alpha=90.00 beta=90.00 gamma=90.00
Last column: nearest neighbours and their distance in Å.
Fractional positions:
Cs: 0.5260 0.2832 0.5000  2 Br 3.52-3.55
Cs: 0.0260 0.7168 0.0000  2 Br 3.52-3.55
Br: 0.5012 0.6579 0.0000  1 P 2.27
Br: 0.3001 0.7871 0.5000  1 P 2.85
Br: 0.7889 0.7502 0.6713  1 P 2.37
Br: 0.2889 0.2498 0.1713  1 P 2.37
Br: 0.7889 0.7502 0.3287  1 P 2.37
Br: 0.0012 0.3421 0.5000  1 P 2.27
Br: 0.2889 0.2498 0.8287  1 P 2.37
Br: 0.8001 0.2129 0.0000  1 P 2.85
P: 0.4668 0.2794 0.0000  3 Br 2.27-2.37
P: 0.9668 0.7206 0.5000  3 Br 2.27-2.37

---

B | # CsPBr4

CsPBr4 after structural relaxation (GGA-PBE, Alexandria).

Output
Symmetry   P2_1/c, No. 14
V   284.5 Å³/f.u.

Unit cell a=10.7721 b=10.0559 c=11.4085 alpha=90.00 beta=90.00 gamma=112.95
Last column: nearest neighbours and their distance in Å.
Fractional positions:
Br: 0.5093 0.7934 0.5361  1 P 2.26
Br: 0.7600 0.4800 0.3256  1 P 2.27
Br: 0.2600 0.9800 0.1744  1 P 2.27
Br: 0.0093 0.2934 0.9639  1 P 2.26
Br: 0.0865 0.1286 0.6723  1 P 3.09
Br: 0.4907 0.2066 0.4639  1 P 2.26
Br: 0.5865 0.6286 0.8277  1 P 3.09
Br: 0.7591 0.3788 0.8245  1 P 2.34
Br: 0.7400 0.0200 0.8256  1 P 2.27
Br: 0.7409 0.1212 0.3245  1 P 2.34
Br: 0.9907 0.7066 0.0361  1 P 2.26
Br: 0.2591 0.8788 0.6755  1 P 2.34
Br: 0.4135 0.3714 0.1723  1 P 3.09
Br: 0.9135 0.8714 0.3277  1 P 3.09
Br: 0.2400 0.5200 0.6744  1 P 2.27
Br: 0.2409 0.6212 0.1755  1 P 2.34
Cs: 0.1383 0.2380 0.3715  3 Br 3.56-3.58
Cs: 0.6383 0.7380 0.1285  3 Br 3.56-3.58
Cs: 0.3617 0.2620 0.8715  3 Br 3.56-3.58
Cs: 0.8617 0.7620 0.6285  3 Br 3.56-3.58
P: 0.8940 0.2476 0.7926  3 Br 2.26-2.34
P: 0.3940 0.7476 0.7074  3 Br 2.26-2.34
P: 0.6060 0.2524 0.2926  3 Br 2.26-2.34
P: 0.1060 0.7524 0.2074  3 Br 2.26-2.34

---

Verdict on stability: B comes out on top.

---

A | # CsSbPBr

CsSbPBr after structural relaxation (GGA-PBE, Alexandria).

Output
Symmetry   P1, No. 1
V   158.1 Å³/f.u.

Unit cell a=3.8189 b=6.0902 c=7.0560 alpha=90.38 beta=74.43 gamma=90.00
Last column: nearest neighbours and their distance in Å.
Fractional positions:
Sb: 0.2859 0.1862 0.3193  2 P 2.53
P: 0.7761 0.4573 0.3389  2 Sb 2.53
Br: 0.4915 0.1093 0.8998  1 Sb 2.89
Cs: 0.0351 0.6109 0.8124  4 Br 3.63-3.66, 3 P 3.70-3.86, 2 Cs 3.82

---

B | # CsSbPBr

CsSbPBr after structural relaxation (GGA-PBE, Alexandria).

Output
Symmetry   Cm, No. 8
V   154.2 Å³/f.u.

Unit cell a=6.0774 b=3.8105 c=13.3151 alpha=90.00 beta=90.52 gamma=90.00
Last column: nearest neighbours and their distance in Å.
Fractional positions:
Cs: 0.0469 0.0000 0.6428  3 Br 3.60-3.61, 4 P 3.79-3.82, 2 Cs 3.81
Cs: 0.0469 0.5000 0.1428  3 Br 3.60-3.61, 4 P 3.79-3.82, 2 Cs 3.81
P: 0.5475 0.5000 0.5469  2 Sb 2.53
P: 0.5475 0.0000 0.0469  2 Sb 2.53
Br: 0.0226 0.0000 0.3726  2 Sb 2.98-3.23
Br: 0.0226 0.5000 0.8726  2 Sb 2.98-3.23
Sb: 0.5447 0.0000 0.4219  2 P 2.53
Sb: 0.5447 0.5000 0.9219  2 P 2.53

---

Verdict on stability: B comes out on top.

---

A | # CsPb2Br

CsPb2Br after structural relaxation (GGA-PBE, Alexandria).

Output
Symmetry   Fm-3m, No. 225
V   150.2 Å³/f.u.

Unit cell a=5.9673 b=5.9673 c=5.9673 alpha=60.00 beta=60.00 gamma=60.00
Last column: nearest neighbours and their distance in Å.
Fractional positions:
Pb: 0.2500 0.2500 0.2500  4 Br 3.65, 4 Cs 3.65
Pb: 0.7500 0.7500 0.7500  4 Br 3.65, 4 Cs 3.65
Br: 0.0000 0.0000 0.0000  8 Pb 3.65
Cs: 0.5000 0.5000 0.5000  8 Pb 3.65

---

B | # CsPb2Br

CsPb2Br after structural relaxation (GGA-PBE, Alexandria).

Output
Symmetry   I-42d, No. 122
V   182.6 Å³/f.u.

Unit cell a=4.7102 b=4.7102 c=16.7972 alpha=81.94 beta=81.94 gamma=90.00
Last column: nearest neighbours and their distance in Å.
Fractional positions:
Pb: 0.8750 0.8721 0.7500  4 Pb 3.31-3.35
Pb: 0.6221 0.1250 0.2500  4 Pb 3.31-3.35
Pb: 0.3750 0.3779 0.7500  4 Pb 3.31-3.35
Pb: 0.1279 0.6250 0.2500  4 Pb 3.31-3.35
Br: 0.5000 0.5000 0.0000  4 Cs 3.33
Br: 0.2500 0.7500 0.5000  4 Cs 3.33
Cs: 0.7500 0.2500 0.5000  4 Br 3.33
Cs: 0.0000 0.0000 0.0000  4 Br 3.33

---

Verdict on stability: B comes out on top.

---

A | # CsPbBr2

CsPbBr2 after structural relaxation (GGA-PBE, Alexandria).

Output
Symmetry   Fm-3m, No. 225
V   144.8 Å³/f.u.

Unit cell a=5.8949 b=5.8949 c=5.8949 alpha=60.00 beta=60.00 gamma=60.00
Last column: nearest neighbours and their distance in Å.
Fractional positions:
Br: 0.7500 0.7500 0.7500  4 Pb 3.61, 4 Cs 3.61
Br: 0.2500 0.2500 0.2500  4 Pb 3.61, 4 Cs 3.61
Cs: 0.0000 0.0000 0.0000  8 Br 3.61
Pb: 0.5000 0.5000 0.5000  8 Br 3.61

---

B | # CsPbBr2

CsPbBr2 after structural relaxation (GGA-PBE, Alexandria).

Output
Symmetry   I-42d, No. 122
V   213.0 Å³/f.u.

Unit cell a=6.8043 b=6.8043 c=10.3820 alpha=70.87 beta=70.87 gamma=90.00
Last column: nearest neighbours and their distance in Å.
Fractional positions:
Pb: 0.0000 0.0000 0.0000  4 Br 3.11
Pb: 0.7500 0.2500 0.5000  4 Br 3.11
Br: 0.6945 0.1250 0.2500  2 Pb 3.11
Br: 0.3750 0.3055 0.7500  2 Pb 3.11
Br: 0.0555 0.6250 0.2500  2 Pb 3.11
Br: 0.8750 0.9445 0.7500  2 Pb 3.11
Cs: 0.2500 0.7500 0.5000  4 Br 3.59
Cs: 0.5000 0.5000 0.0000  4 Br 3.59

---

C | # CsPbBr2

CsPbBr2 after structural relaxation (GGA-PBE, Alexandria).

Output
Symmetry   R-3m, No. 166
V   207.1 Å³/f.u.

Unit cell a=10.1138 b=10.1138 c=10.1138 alpha=28.42 beta=28.42 gamma=28.42
Last column: nearest neighbours and their distance in Å.
Fractional positions:
Br: 0.1186 0.1186 0.1186  3 Pb 3.19, 1 Cs 3.45
Br: 0.8814 0.8814 0.8814  3 Pb 3.19, 1 Cs 3.45
Cs: 0.0000 0.0000 0.0000  2 Br 3.45
Pb: 0.5000 0.5000 0.5000  6 Br 3.19

---

Verdict on stability: B comes out on top.

---

A | # Cs2PbBr4

Cs2PbBr4 after structural relaxation (GGA-PBE, Alexandria).

Output
Symmetry   I4/mmm, No. 139
V   326.9 Å³/f.u.

Unit cell a=5.9701 b=5.9701 c=10.0963 alpha=72.80 beta=72.80 gamma=90.00
Last column: nearest neighbours and their distance in Å.
Fractional positions:
Br: 0.1650 0.1650 0.6700  1 Pb 3.03
Br: 0.0000 0.5000 0.0000  2 Pb 2.99
Br: 0.5000 0.0000 0.0000  2 Pb 2.99
Br: 0.8350 0.8350 0.3300  1 Pb 3.03
Pb: 0.0000 0.0000 0.0000  6 Br 2.99-3.03
Cs: 0.3598 0.3598 0.2804  5 Br 3.57-3.94
Cs: 0.6402 0.6402 0.7196  5 Br 3.57-3.94

---

B | # Cs2PbBr4

Cs2PbBr4 after structural relaxation (GGA-PBE, Alexandria).

Output
Symmetry   C2/m, No. 12
V   294.1 Å³/f.u.

Unit cell a=4.6845 b=9.6411 c=9.5488 alpha=133.55 beta=104.20 gamma=90.00
Last column: nearest neighbours and their distance in Å.
Fractional positions:
Br: 0.0599 0.7767 0.1198  1 Pb 3.04
Br: 0.3474 0.7476 0.6948  2 Pb 3.10
Br: 0.9401 0.2233 0.8802  1 Pb 3.04
Br: 0.6526 0.2524 0.3052  2 Pb 3.10
Cs: 0.3418 0.3562 0.6836  8 Br 3.70-4.12
Cs: 0.6582 0.6438 0.3164  8 Br 3.70-4.12
Pb: 0.0000 0.0000 0.0000  6 Br 3.04-3.10

---

Verdict on stability: A comes out on top.